ZrSc2Co after structural relaxation, computed with GGA-PBEsol.

Output
The calculation puts the formation energy from the elements at -0.150 eV per atom. As for the crystal system: tetragonal. The total energy comes out at -30.636 eV per formula unit. As for the symmetry: P4/mmm (123). The value obtained for the polymorph energy (0 for the lowest one) is 21 meV/atom.

a = 3.1213 Å, b = 3.1213 Å, c = 7.5991 Å
α = 90.00°, β = 90.00°, γ = 90.00°
With the nearest neighbours (Å) after each atom.
Positions (direct):
Sc1 0.0000 0.0000 0.6966  4 Co 2.67
Co1 0.5000 0.5000 0.5000  8 Sc 2.67
Zr1 0.5000 0.5000 0.0000  4 Zr 3.12, 8 Sc 3.19
Sc2 0.0000 0.0000 0.3034  4 Co 2.67